! KSc2TiPt | Alexandria | PBE | relaxed; values from VASP
! ΔE_f = 1.38 eV/atom
! Size of the total moment = 2.0 μB/f.u.
&SYSTEM
  ibrav = 0, nat = 5, ntyp = 4
/
ATOMIC_SPECIES
Sc 44.96 Sc.upf
K 39.10 K.upf
Pt 195.08 Pt.upf
Ti 47.87 Ti.upf
CELL_PARAMETERS angstrom
4.7643 0.0000 0.0000
0.0000 4.7643 0.0000
0.0000 0.0000 4.9837
ATOMIC_POSITIONS crystal
Sc 0.0000 0.5000 0.0000
Sc 0.5000 0.0000 0.0000
K 0.0000 0.0000 0.0000
Pt 0.0000 0.0000 0.5000
Ti 0.5000 0.5000 0.5000